Run one
Entry from Alexandria: a relaxed P2PdRh2 crystal (PBE).

As for the space group: I4/mmm. The density of states at the Fermi level comes out at 2.64 states/eV/f.u. The size of the total moment comes out at 0.0000 μB/atom.

a b c (Å): 3.6826 3.6826 6.1314
angles (deg): 72.52 72.52 90.00
Sites, in units of the cell vectors:
P  0.7500  0.2500  0.5000
P  0.2500  0.7500  0.5000
Rh  0.3774  0.3774  0.2451
Rh  0.6226  0.6226  0.7549
Pd  0.0000  0.0000  0.0000

Run two
Entry from Alexandria: a relaxed P2PdRh2 crystal (PBE).

As for the space group: P4/mbm. The density of states at the Fermi level comes out at 3.15 states/eV/f.u. The size of the total moment comes out at 0.0000 μB/atom.

a b c (Å): 6.8108 6.8108 2.9766
angles (deg): 90.00 90.00 90.00
Sites, in units of the cell vectors:
P  0.3496  0.8496  0.0000
P  0.8496  0.6504  0.0000
P  0.6504  0.1504  0.0000
P  0.1504  0.3496  0.0000
Rh  0.1427  0.6427  0.5000
Rh  0.6427  0.8573  0.5000
Rh  0.8573  0.3573  0.5000
Rh  0.3573  0.1427  0.5000
Pd  0.0000  0.0000  0.0000
Pd  0.5000  0.5000  0.0000

Which one sits at the bottom of the stability order? run one does.

Run one
Entry from Alexandria: a relaxed P2PdRhS crystal (PBE).

As for the space group: P4/mmm. The density of states at the Fermi level comes out at 4.14 states/eV/f.u. The size of the total moment comes out at 0.0000 μB/atom.

a b c (Å): 4.4497 4.4497 4.9158
angles (deg): 90.00 90.00 90.00
Sites, in units of the cell vectors:
P  0.0000  0.5000  0.0000
P  0.5000  0.0000  0.0000
S  0.0000  0.0000  0.5000
Rh  0.0000  0.0000  0.0000
Pd  0.5000  0.5000  0.5000

Run two
Entry from Alexandria: a relaxed P2PdRhS crystal (PBE).

As for the space group: P4/mmm. The density of states at the Fermi level comes out at 3.69 states/eV/f.u. The size of the total moment comes out at 0.0000 μB/atom.

a b c (Å): 4.5228 4.5228 4.7656
angles (deg): 90.00 90.00 90.00
Sites, in units of the cell vectors:
P  0.0000  0.5000  0.0000
P  0.5000  0.0000  0.0000
S  0.0000  0.0000  0.5000
Rh  0.5000  0.5000  0.5000
Pd  0.0000  0.0000  0.0000

Which one sits at the bottom of the stability order? run two does.